1.
# SmDy6Cd2

A geometry-optimized SmDy6Cd2 structure (PBE-GGA, Alexandria via LeMat-Bulk).

Computed properties:
* energy relative to the elements: -128 meV per atom
* D(E_F): 1.058 states/eV per atom
* calculated density: 8414 kg/m³

Cell: 6.583 6.583 11.883 Å, 107.63 107.63 33.05°
Positions (direct):
1 Sm 0.000 0.000 0.000
2 Dy 0.015 0.015 0.341
3 Dy 0.313 0.313 0.417
4 Dy 0.315 0.315 0.124
5 Dy 0.685 0.685 0.876
6 Dy 0.687 0.687 0.583
7 Dy 0.985 0.985 0.659
8 Cd 0.352 0.352 0.787
9 Cd 0.648 0.648 0.213

***

2.
# Sm3DyCd4

A geometry-optimized Sm3DyCd4 structure (PBE-GGA, Alexandria via LeMat-Bulk).

Computed properties:
* energy relative to the elements: -316 meV per atom
* D(E_F): 1.173 states/eV per atom
* calculated density: 8067 kg/m³

Cell: 10.676 7.681 5.338 Å, 90.00 90.00 90.00°
Positions (direct):
1 Sm 0.000 0.000 0.000
2 Sm 0.250 0.000 0.499
3 Sm 0.250 0.500 0.499
4 Sm 0.500 0.000 0.000
5 Sm 0.750 0.000 0.501
6 Sm 0.750 0.500 0.501
7 Dy 0.000 0.500 0.000
8 Dy 0.500 0.500 0.000
9 Cd 0.000 0.255 0.500
10 Cd 0.000 0.745 0.500
11 Cd 0.250 0.255 0.999
12 Cd 0.250 0.745 0.999
13 Cd 0.500 0.255 0.500
14 Cd 0.500 0.745 0.500
15 Cd 0.750 0.255 0.001
16 Cd 0.750 0.745 0.001

***

3.
# SmDyCd

A geometry-optimized SmDyCd structure (PBE-GGA, Alexandria via LeMat-Bulk).

Computed properties:
* energy relative to the elements: 97 meV per atom
* D(E_F): 1.721 states/eV per atom
* polymorph energy (0 for the lowest one): 292.1 meV per atom
* calculated density: 7141 kg/m³

Cell: 5.191 5.191 5.191 Å, 60.00 60.00 60.00°
Positions (direct):
1 Sm 0.000 0.000 0.000
2 Dy 0.500 0.500 0.500
3 Cd 0.750 0.750 0.750

***

4.
# Sm9Dy4Cd11

A geometry-optimized Sm9Dy4Cd11 structure (PBE-GGA, Alexandria via LeMat-Bulk).

Computed properties:
* energy relative to the elements: -239 meV per atom
* D(E_F): 1.089 states/eV per atom
* calculated density: 8103 kg/m³

Cell: 14.081 14.081 3.580 Å, 90.00 90.00 110.71°
Positions (direct):
1 Sm 0.000 0.000 0.000
2 Sm 0.123 0.651 0.000
3 Sm 0.293 0.470 0.000
4 Sm 0.349 0.877 0.000
5 Sm 0.470 0.293 0.000
6 Sm 0.530 0.707 0.000
7 Sm 0.651 0.123 0.000
8 Sm 0.707 0.530 0.000
9 Sm 0.877 0.349 0.000
10 Dy 0.070 0.248 0.000
11 Dy 0.248 0.070 0.000
12 Dy 0.752 0.930 0.000
13 Dy 0.930 0.752 0.000
14 Cd 0.086 0.446 0.500
15 Cd 0.132 0.868 0.500
16 Cd 0.264 0.264 0.500
17 Cd 0.327 0.673 0.500
18 Cd 0.446 0.086 0.500
19 Cd 0.500 0.500 0.500
20 Cd 0.554 0.914 0.500
21 Cd 0.673 0.327 0.500
22 Cd 0.736 0.736 0.500
23 Cd 0.868 0.132 0.500
24 Cd 0.914 0.554 0.500

***

5.
# Sm6DyCd2

A geometry-optimized Sm6DyCd2 structure (PBE-GGA, Alexandria via LeMat-Bulk).

Computed properties:
* energy relative to the elements: -62 meV per atom
* D(E_F): 1.206 states/eV per atom
* polymorph energy (0 for the lowest one): 69.0 meV per atom
* calculated density: 7714 kg/m³

Cell: 9.696 9.696 6.194 Å, 94.39 94.39 73.30°
Positions (direct):
1 Sm 0.071 0.816 0.991
2 Sm 0.148 0.404 0.163
3 Sm 0.184 0.929 0.509
4 Sm 0.231 0.532 0.686
5 Sm 0.404 0.148 0.663
6 Sm 0.468 0.769 0.814
7 Sm 0.532 0.231 0.186
8 Sm 0.596 0.852 0.337
9 Sm 0.769 0.468 0.314
10 Sm 0.816 0.071 0.491
11 Sm 0.852 0.596 0.837
12 Sm 0.929 0.184 0.009
13 Dy 0.399 0.601 0.250
14 Dy 0.601 0.399 0.750
15 Cd 0.041 0.287 0.592
16 Cd 0.287 0.041 0.092
17 Cd 0.713 0.959 0.908
18 Cd 0.959 0.713 0.408

***

6.
# Sm12Dy6Cd

A geometry-optimized Sm12Dy6Cd structure (PBE-GGA, Alexandria via LeMat-Bulk).

Computed properties:
* energy relative to the elements: 115 meV per atom
* D(E_F): 1.490 states/eV per atom
* polymorph energy (0 for the lowest one): 15.4 meV per atom
* calculated density: 7567 kg/m³

Cell: 8.670 8.670 8.670 Å, 97.27 97.27 97.27°
Positions (direct):
1 Sm 0.001 0.260 0.740
2 Sm 0.171 0.580 0.580
3 Sm 0.260 0.740 0.001
4 Sm 0.260 0.999 0.740
5 Sm 0.420 0.420 0.829
6 Sm 0.420 0.829 0.420
7 Sm 0.580 0.171 0.580
8 Sm 0.580 0.580 0.171
9 Sm 0.740 0.001 0.260
10 Sm 0.740 0.260 0.999
11 Sm 0.829 0.420 0.420
12 Sm 0.999 0.740 0.260
13 Dy 0.135 0.406 0.136
14 Dy 0.136 0.135 0.406
15 Dy 0.406 0.136 0.135
16 Dy 0.594 0.864 0.865
17 Dy 0.864 0.865 0.594
18 Dy 0.865 0.594 0.864
19 Cd 0.000 0.000 0.000